DFT (PBE) results for a relaxed structure of KSr2Ag.

Values from the calculation:
DFT total energy ... -6.4 eV for the cell shown
Density of states at the Fermi level ... 0.897 states/eV/atom
Energy above the lowest structure with this stoichiometry ... 0.310 eV per atom
Energy relative to the elements ... 217 meV per atom
Symmetry ... F-43m (216)
Total magnetic moment ... 0.00 μB per atom
V ... 174.34 Å³ per cell

Structure (POSCAR):
```
KSr2Ag
1.0
6.2705 0.0000 0.0000
3.1353 5.4304 0.0000
3.1353 1.8101 5.1198
Ag K Sr
1 1 2
direct
0.5000 0.5000 0.5000
0.7500 0.7500 0.7500
0.0000 0.0000 0.0000
0.2500 0.2500 0.2500
```


DFT (PBE) results for a relaxed structure of Zr3CoH.

Values from the calculation:
DFT total energy ... -74.9 eV for the cell shown
Density of states at the Fermi level ... 0.996 states/eV/atom
Energy above the lowest structure with this stoichiometry ... 0.000 eV per atom
Symmetry ... C2/m (12)
Total magnetic moment ... 0.00 μB per atom
V ... 162.37 Å³ per cell

Structure (POSCAR):
```
Zr3CoH
1.0
-2.1310 -2.3832 -0.9103
2.6881 -3.3338 -3.6181
3.8370 -5.7553 6.1046
Zr Co H
6 2 2
direct
0.2341 0.1011 0.3219
0.4927 0.5833 0.1295
0.1955 0.1774 0.9296
0.7142 0.1400 0.6174
0.4541 0.6597 0.7371
0.9739 0.6208 0.4416
0.7896 0.9891 0.1377
0.8987 0.7715 0.9214
0.0938 0.3814 0.6816
0.5943 0.3794 0.3774
```


DFT (PBE) results for a relaxed structure of CaAc2PrCo.

Values from the calculation:
DFT total energy ... -22.1 eV for the cell shown
Density of states at the Fermi level ... 1.171 states/eV/atom
Energy relative to the elements ... 1 meV per atom
Symmetry ... P4/mmm (123)
Total magnetic moment ... 0.00 μB per atom
V ... 184.17 Å³ per cell

Structure (POSCAR):
```
CaAc2PrCo
1.0
5.5940 0.0000 0.0000
0.0000 5.7378 0.0000
0.0000 0.0000 5.7378
Ca Ac Pr Co
1 2 1 1
direct
0.5000 0.5000 0.5000
0.0000 0.0000 0.5000
0.0000 0.5000 0.0000
0.5000 0.0000 0.0000
0.0000 0.0000 0.0000
```


DFT (PBE) results for a relaxed structure of BiH6Ir2Rh.

Values from the calculation:
DFT total energy ... -95.5 eV for the cell shown
Density of states at the Fermi level ... 0.241 states/eV/atom
Symmetry ... C2/c (15)
Total magnetic moment ... 0.00 μB per atom
V ... 192.59 Å³ per cell

Structure (POSCAR):
```
BiH6Ir2Rh
1.0
-3.5255 -3.6493 -2.7539
-1.1272 -1.3449 5.5001
-3.1259 5.2735 -0.5640
Bi H Ir Rh
2 12 4 2
direct
0.1341 0.8659 0.2500
0.8659 0.1341 0.7500
0.8171 0.4468 0.1388
0.5532 0.1829 0.3612
0.1829 0.5532 0.8612
0.4468 0.8171 0.6388
0.2082 0.3374 0.1162
0.6626 0.7918 0.3838
0.7918 0.6626 0.8838
0.3374 0.2082 0.6162
0.3298 0.5048 0.4426
0.4952 0.6702 0.0574
0.6702 0.4952 0.5574
0.5048 0.3298 0.9426
0.3590 0.0353 0.8007
0.9647 0.6410 0.6993
0.6410 0.9647 0.1993
0.0353 0.3590 0.3007
0.5566 0.4434 0.2500
0.4434 0.5566 0.7500
```


DFT (PBE) results for a relaxed structure of GdAlSi.

Values from the calculation:
DFT total energy ... -23.5 eV for the cell shown
Raw formation energy ... -0.089 eV per atom
Density of states at the Fermi level ... 0.636 states/eV/atom
Symmetry ... I4mm (107)
Total magnetic moment ... 2.43 μB per atom
V ... 67.69 Å³ per cell

Structure (POSCAR):
```
GdAlSi
1.0
4.0587 0.0000 0.0000
0.0000 4.0587 0.0000
-2.0293 -2.0293 4.1093
Si Gd Al
1 1 1
direct
0.6340 0.6340 0.2679
0.2838 0.2838 0.5676
0.9322 0.9322 0.8645
```


DFT (PBE) results for a relaxed structure of CsCo3I.

Values from the calculation:
DFT total energy ... -17.0 eV for the cell shown
Raw formation energy ... 1.342 eV per atom
Density of states at the Fermi level ... 0.962 states/eV/atom
Energy above the lowest structure with this stoichiometry ... 0.000 eV per atom
Symmetry ... Pm-3m (221)
Total magnetic moment ... 0.61 μB per atom
V ... 117.27 Å³ per cell

Structure (POSCAR):
```
CsCo3I
1.0
-4.0032 2.6459 0.9652
-2.8068 -3.6095 -1.7467
-0.2325 -1.9821 4.4694
Cs I Co
1 1 3
direct
0.5000 0.5000 0.5000
0.0000 0.0000 0.0000
0.0000 0.5000 0.0000
0.0000 0.0000 0.5000
0.5000 0.0000 0.0000
```


DFT (PBE) results for a relaxed structure of Zr2NbHRu.

Values from the calculation:
DFT total energy ... -41.0 eV for the cell shown
Density of states at the Fermi level ... 1.115 states/eV/atom
Symmetry ... P4/mmm (123)
Total magnetic moment ... 0.00 μB per atom
V ... 78.26 Å³ per cell

Structure (POSCAR):
```
Zr2NbHRu
1.0
-3.5807 -2.0694 2.2608
0.3011 -3.6974 -2.9075
2.2798 -1.5430 2.1983
Ru Nb Zr H
1 1 2 1
direct
0.0000 0.0000 0.5000
0.5000 0.5000 0.5000
0.0000 0.5000 0.0000
0.5000 0.0000 0.0000
0.0000 0.0000 0.0000
```


DFT (PBE) results for a relaxed structure of V2CrTc2.

Values from the calculation:
DFT total energy ... -94.4 eV for the cell shown
Density of states at the Fermi level ... 1.112 states/eV/atom
Energy above the lowest structure with this stoichiometry ... 0.000 eV per atom
Energy relative to the elements ... 281 meV per atom
Symmetry ... Imma (74)
Total magnetic moment ... 0.14 μB per atom
V ... 148.30 Å³ per cell

Structure (POSCAR):
```
V2CrTc2
1.0
4.0919 0.0040 -1.3403
-0.7839 5.3038 -2.3776
-0.0032 -0.1471 6.9066
V Cr Tc
4 2 4
direct
0.6470 0.3970 0.7941
0.0021 0.7521 0.5042
0.9979 0.2479 0.4958
0.3530 0.6030 0.2059
0.3607 0.1107 0.2214
0.6393 0.8893 0.7786
0.8285 0.3274 0.1570
0.8285 0.8296 0.1570
0.1715 0.1704 0.8430
0.1715 0.6726 0.8430
```


DFT (PBE) results for a relaxed structure of MgSc2SiC.

Values from the calculation:
DFT total energy ... -31.3 eV for the cell shown
Raw formation energy ... -0.474 eV per atom
Density of states at the Fermi level ... 0.155 states/eV/atom
Symmetry ... P4/mmm (123)
Total magnetic moment ... 0.00 μB per atom
V ... 84.59 Å³ per cell

Structure (POSCAR):
```
MgSc2SiC
1.0
-0.6156 0.5001 4.3969
2.0909 -3.8796 0.7340
3.6991 2.0476 0.2850
Sc C Si Mg
2 1 1 1
direct
0.0000 0.5000 0.0000
0.5000 0.0000 0.0000
0.0000 0.0000 0.0000
0.5000 0.5000 0.5000
0.0000 0.0000 0.5000
```


DFT (PBE) results for a relaxed structure of TbPm2Ni2.

Values from the calculation:
DFT total energy ... -54.0 eV for the cell shown
Density of states at the Fermi level ... 0.859 states/eV/atom
Energy above the lowest structure with this stoichiometry ... 0.026 eV per atom
Energy relative to the elements ... -258 meV per atom
Symmetry ... P4/mbm (127)
Total magnetic moment ... 0.00 μB per atom
V ... 230.67 Å³ per cell

Structure (POSCAR):
```
TbPm2Ni2
1.0
3.9098 0.0000 0.0000
0.0000 7.6809 0.0000
0.0000 0.0000 7.6809
Tb Pm Ni
2 4 4
direct
0.0000 0.0000 0.0000
0.0000 0.5000 0.5000
0.5000 0.1668 0.6668
0.5000 0.6668 0.8332
0.5000 0.8332 0.3332
0.5000 0.3332 0.1668
0.0000 0.3793 0.8793
0.0000 0.8793 0.6207
0.0000 0.6207 0.1207
0.0000 0.1207 0.3793
```


DFT (PBE) results for a relaxed structure of Tl2BiF5.

Values from the calculation:
DFT total energy ... -140.4 eV for the cell shown
Raw formation energy ... -2.140 eV per atom
Density of states at the Fermi level ... 0.000 states/eV/atom
Energy above the lowest structure with this stoichiometry ... 0.000 eV per atom
Symmetry ... Pnma (62)
Total magnetic moment ... 0.00 μB per atom
V ... 627.08 Å³ per cell

Structure (POSCAR):
```
Tl2BiF5
1.0
7.0246 0.0000 0.0000
0.0000 7.7155 0.0000
0.0000 0.0000 11.5700
Tl Bi F
8 4 20
direct
0.4751 0.5023 0.8300
0.5249 0.4977 0.1700
0.9751 0.4977 0.6700
0.5249 0.0023 0.1700
0.0249 0.5023 0.3300
0.4751 0.9977 0.8300
0.0249 0.9977 0.3300
0.9751 0.0023 0.6700
0.4421 0.2500 0.5036
0.5579 0.7500 0.4964
0.9421 0.7500 0.9964
0.0579 0.2500 0.0036
0.1124 0.2500 0.5193
0.8876 0.7500 0.4807
0.6124 0.7500 0.9807
0.3876 0.2500 0.0193
0.3499 0.9613 0.5693
0.6501 0.0387 0.4307
0.8499 0.0387 0.9307
0.6501 0.4613 0.4307
0.1501 0.9613 0.0693
0.3499 0.5387 0.5693
0.1501 0.5387 0.0693
0.8499 0.4613 0.9307
0.1474 0.2500 0.8129
0.8526 0.7500 0.1871
0.6474 0.7500 0.6871
0.3526 0.2500 0.3129
0.6244 0.2500 0.6698
0.3756 0.7500 0.3302
0.1244 0.7500 0.8302
0.8756 0.2500 0.1698
```


DFT (PBE) results for a relaxed structure of Ho2TlH2.

Values from the calculation:
DFT total energy ... -41.4 eV for the cell shown
Density of states at the Fermi level ... 0.515 states/eV/atom
Energy above the lowest structure with this stoichiometry ... 0.087 eV per atom
Symmetry ... C2/c (15)
Total magnetic moment ... 0.00 μB per atom
V ... 170.94 Å³ per cell

Structure (POSCAR):
```
Ho2TlH2
1.0
5.7806 -0.7329 -0.1392
-1.9177 5.5023 -0.1392
-1.7768 -2.1937 5.7509
Ho Tl H
4 2 4
direct
0.4452 0.5548 0.2500
0.8039 0.1961 0.2500
0.1961 0.8039 0.7500
0.5548 0.4452 0.7500
0.1251 0.8749 0.2500
0.8749 0.1251 0.7500
0.7451 0.4960 0.4903
0.5040 0.2549 0.0097
0.4960 0.7451 0.9903
0.2549 0.5040 0.5097
```